VASP calculation (GGA+U) on a geometry-optimized P3WF structure. Values from VASP.

```
&SYSTEM
  ibrav = 0, nat = 5, ntyp = 3
/
ATOMIC_SPECIES
P 30.97 P.upf
F 19.00 F.upf
W 183.84 W.upf
CELL_PARAMETERS angstrom
4.299 0.000 0.000
0.000 4.299 0.000
0.000 0.000 4.299
ATOMIC_POSITIONS crystal
P 0.500 0.000 0.000
P 0.000 0.000 0.500
P 0.000 0.500 0.000
F 0.000 0.000 0.000
W 0.500 0.500 0.500
```

- Uncorrected energy: -21.084 eV per cell
- Mass density: 6.18 Mg/m³